No. 1
VASP calculation (GGA-PBEsol) on crystalline U3Sb4 at its relaxed geometry.

a = 8.936 Å, b = 8.936 Å, c = 8.936 Å
α = 90.00°, β = 90.00°, γ = 90.00°
Space group I-43d (No. 220)
Asymmetric unit:
U 0.000 0.250 0.875
Sb 0.080 0.420 0.580

Results
- E_tot: -0.58585 Ry per atom


No. 2
VASP calculation (GGA-PBEsol) on crystalline LaOsCl at its relaxed geometry.

a = 4.3663 Å, b = 4.3663 Å, c = 3.5121 Å
α = 90.00°, β = 90.00°, γ = 120.00°
Space group P3m1 (No. 156)
Asymmetric unit:
La 0.0000 0.0000 0.0000
Os 0.6667 0.3333 0.4791
Cl 0.3333 0.6667 0.5110

Results
- E_tot: -0.48840 Ry per atom


No. 3
VASP calculation (GGA-PBEsol) on crystalline Bi3PO7 at its relaxed geometry.

a = 12.780 Å, b = 13.430 Å, c = 11.945 Å
α = 90.00°, β = 109.11°, γ = 90.00°
Space group C2/m (No. 12)
Asymmetric unit:
Bi 0.000 0.176 0.000
Bi 0.001 0.168 0.311
Bi 0.150 0.336 0.553
Bi 0.176 0.345 0.229
Bi 0.179 0.348 0.894
P 0.015 0.500 0.322
P 0.166 0.000 0.252
P 0.171 0.000 0.871
O 0.000 0.229 0.500
O 0.001 0.277 0.837
O 0.007 0.403 0.619
O 0.052 0.500 0.811
O 0.091 0.000 0.331
O 0.112 0.096 0.890
O 0.142 0.500 0.343
O 0.144 0.096 0.176
O 0.167 0.250 0.723
O 0.169 0.250 0.381
O 0.169 0.266 0.055
O 0.172 0.000 0.741
O 0.209 0.500 0.039
O 0.211 0.500 0.667

Results
- E_tot: -0.49258 Ry per atom